Density functional theory data (PBE-GGA) for a relaxed PmMgSe2 crystal.

Calculated values
Size of the total moment: 0.011 μB per formula unit
Final energy: -4.445 eV per atom
Volume: 90 Å³ per cell
Space-group type: I4/mmm (139)

abc: 5.083 5.083 5.083
angles: 122.03 122.03 86.53
Fractional positions:
Se: 0.250 0.750 0.500
Se: 0.750 0.250 0.500
Pm: 0.000 0.000 0.000
Mg: 0.500 0.500 0.000